No. 1
Cr2SnPt2 | GGA-PBE | optimized geometry

Output
Space group: I4/mmm
Energy of formation, kJ/mol of atoms: 9.8
Size of the total moment, Bohr magnetons per cell: 0.00

a b c (Å): 3.9339 3.9339 5.9649
angles (deg): 70.75 70.75 90.00
Atoms (fractional coordinates):
Cr1 0.4080 0.4080 0.1839
Cr2 0.5920 0.5920 0.8161
Sn1 0.0000 0.0000 0.0000
Pt1 0.7500 0.2500 0.5000
Pt2 0.2500 0.7500 0.5000

No. 2
CrSnPt3 | GGA-PBE | optimized geometry

Output
Energy above the lowest structure with this stoichiometry, meV per atom: 0
Space group: Pm-3m
Energy of formation, kJ/mol of atoms: 60.5
Size of the total moment, Bohr magnetons per cell: 0.00

a b c (Å): 4.6623 4.6623 4.6623
angles (deg): 90.00 90.00 90.00
Atoms (fractional coordinates):
Cr1 0.0000 0.0000 0.0000
Sn1 0.5000 0.5000 0.5000
Pt1 0.0000 0.5000 0.0000
Pt2 0.0000 0.0000 0.5000
Pt3 0.5000 0.0000 0.0000

No. 3
ZnCr2SnPt | GGA-PBE | optimized geometry

Output
Space group: P4/mmm
Energy of formation, kJ/mol of atoms: 126.1
Size of the total moment, Bohr magnetons per cell: 7.99

a b c (Å): 5.0449 4.7840 5.0449
angles (deg): 90.00 90.00 90.00
Atoms (fractional coordinates):
Cr1 0.0000 0.0000 0.5000
Cr2 0.5000 0.0000 0.0000
Zn1 0.0000 0.5000 0.0000
Sn1 0.0000 0.0000 0.0000
Pt1 0.5000 0.5000 0.5000

No. 4
ZrCrSn2Pt | GGA-PBE | optimized geometry

Output
Space group: P4/mmm
Energy of formation, kJ/mol of atoms: 34.2
Size of the total moment, Bohr magnetons per cell: 0.00

a b c (Å): 4.9239 4.6274 4.9239
angles (deg): 90.00 90.00 90.00
Atoms (fractional coordinates):
Zr1 0.0000 0.5000 0.0000
Sn1 0.0000 0.0000 0.5000
Sn2 0.5000 0.0000 0.0000
Pt1 0.5000 0.5000 0.5000
Cr1 0.0000 0.0000 0.0000

No. 5
SrCrPt | GGA-PBE | optimized geometry

Output
Energy above the lowest structure with this stoichiometry, meV per atom: 99
Space group: P-1
Energy of formation, kJ/mol of atoms: -8.6
Size of the total moment, Bohr magnetons per cell: 0.00

a b c (Å): 4.1398 6.9922 5.9970
angles (deg): 62.30 70.03 83.27
Atoms (fractional coordinates):
Sr1 0.8821 0.6772 0.3684
Sr2 0.1444 0.2816 0.0105
Pt1 0.4268 0.3005 0.4240
Pt2 0.5996 0.6584 0.9548
Cr1 0.8163 0.0533 0.6973
Cr2 0.2102 0.9055 0.6814

No. 6
SrCr3Pt | GGA-PBE | optimized geometry

Output
Energy above the lowest structure with this stoichiometry, meV per atom: 1961
Space group: Pm-3m
Energy of formation, kJ/mol of atoms: 261.8
Size of the total moment, Bohr magnetons per cell: 0.00

a b c (Å): 4.3752 4.3752 4.3752
angles (deg): 90.00 90.00 90.00
Atoms (fractional coordinates):
Sr1 0.0000 0.0000 0.0000
Pt1 0.5000 0.5000 0.5000
Cr1 0.0000 0.5000 0.0000
Cr2 0.0000 0.0000 0.5000
Cr3 0.5000 0.0000 0.0000

no.,E_tot (eV per atom)
1,-6.96
2,-5.72
3,-4.81
4,-6.09
5,-5.87
6,-4.61